# 1
Density functional theory data (GGA-PBE) for a relaxed SbPdAu crystal.

a b c (Å): 4.5061 4.5061 3.3696
angles (deg): 90.00 90.00 120.00
With the nearest neighbours (Å) after each atom.
Positions (direct):
Sb  0.0000  0.0000  0.0000  3 Pd 2.76, 3 Au 2.85
Pd  0.3333  0.6667  0.7228  3 Sb 2.76, 3 Au 2.90
Au  0.6667  0.3333  0.3430  3 Sb 2.85, 3 Pd 2.90

Calculated values
N(E_F): 1.52 states/eV/f.u.
Magnetic moment: 0.0 μB/cell
ΔE_f (raw): -0.088 eV/atom
Volume: 59 Å³/f.u.

=====

# 2
Density functional theory data (GGA-PBE) for a relaxed HgOsF3 crystal.

a b c (Å): 4.2434 4.2434 4.2434
angles (deg): 90.00 90.00 90.00
With the nearest neighbours (Å) after each atom.
Positions (direct):
Hg  0.0000  0.0000  0.0000  12 F 3.00
Os  0.5000  0.5000  0.5000  6 F 2.12
F  0.0000  0.5000  0.5000  2 Os 2.12
F  0.5000  0.0000  0.5000  2 Os 2.12
F  0.5000  0.5000  0.0000  2 Os 2.12

Calculated values
N(E_F): 4.94 states/eV/f.u.
Magnetic moment: 1.6 μB/cell
ΔE_f (raw): -0.603 eV/atom
Volume: 76 Å³/f.u.

=====

# 3
Density functional theory data (GGA-PBE) for a relaxed TbAl2Pt3 crystal.

a b c (Å): 8.5429 8.5429 9.9880
angles (deg): 106.69 106.69 27.49
With the nearest neighbours (Å) after each atom.
Positions (direct):
Tb  0.0000  0.0000  0.0000  6 Pt 3.02-3.21, 6 Al 3.11-3.21
Tb  0.1612  0.1612  0.7025  7 Pt 3.14-3.49, 6 Al 3.14-3.22
Tb  0.8388  0.8388  0.2975  7 Pt 3.14-3.49, 6 Al 3.14-3.22
Al  0.1954  0.1954  0.1233  6 Pt 2.50-2.62
Al  0.3611  0.3611  0.5542  7 Pt 2.43-2.62
Al  0.4642  0.4642  0.2247  5 Pt 2.43-2.64
Al  0.5358  0.5358  0.7753  5 Pt 2.43-2.64
Al  0.6389  0.6389  0.4458  7 Pt 2.43-2.62
Al  0.8046  0.8046  0.8767  6 Pt 2.50-2.62
Pt  0.0417  0.0417  0.3352  4 Al 2.48-2.62
Pt  0.2204  0.2204  0.3881  4 Al 2.43-2.60
Pt  0.3265  0.3265  0.0493  4 Al 2.43-2.62
Pt  0.3851  0.3851  0.8126  4 Al 2.49-2.63
Pt  0.5000  0.5000  0.5000  4 Al 2.52-2.64
Pt  0.6149  0.6149  0.1874  4 Al 2.49-2.63
Pt  0.6735  0.6735  0.9507  4 Al 2.43-2.62
Pt  0.7796  0.7796  0.6119  4 Al 2.43-2.60
Pt  0.9583  0.9583  0.6648  4 Al 2.48-2.62

Calculated values
N(E_F): 2.93 states/eV/f.u.
Magnetic moment: 0.0 μB/cell
Uncorrected energy: -6.12 eV/atom
Volume: 107 Å³/f.u.